No. 1
The following is a DFT calculation (PBE-GGA) of ErB2Ru4 after structural relaxation.

a = 3.7773 Å, b = 13.0327 Å, c = 3.7685 Å
α = 90.00°, β = 90.00°, γ = 90.00°
Last column: nearest neighbours and their distance in Å.
Fractional positions:
Er 0.0000 0.0000 0.0000  8 B 2.83, 8 Ru 2.97-3.03
Er 0.5000 0.5000 0.0000  8 B 2.83, 8 Ru 2.97-3.03
B 0.0000 0.4277 0.5000  1 B 1.88
B 0.0000 0.5723 0.5000  1 B 1.88
B 0.5000 0.0723 0.5000  1 B 1.88
B 0.5000 0.9277 0.5000  1 B 1.88
Ru 0.0000 0.1766 0.5000  2 B 2.33
Ru 0.0000 0.3183 0.0000  2 B 2.36, 4 Ru 2.60-2.64
Ru 0.0000 0.6817 0.0000  2 B 2.36, 4 Ru 2.60-2.64
Ru 0.0000 0.8234 0.5000  2 B 2.33
Ru 0.5000 0.1817 0.0000  2 B 2.36, 4 Ru 2.60-2.64
Ru 0.5000 0.3234 0.5000  2 B 2.33
Ru 0.5000 0.6766 0.5000  2 B 2.33
Ru 0.5000 0.8183 0.0000  2 B 2.36, 4 Ru 2.60-2.64


No. 2
The following is a DFT calculation (PBE-GGA) of Er2B6Ru after structural relaxation.

Energy above the lowest structure with this stoichiometry, meV per atom: 0

a = 9.0988 Å, b = 11.4664 Å, c = 3.6356 Å
α = 90.00°, β = 90.00°, γ = 90.00°
Last column: nearest neighbours and their distance in Å.
Fractional positions:
Er 0.0563 0.1273 0.0000  12 B 2.58-2.61, 2 Ru 2.84-2.85
Er 0.1783 0.4138 0.0000  14 B 2.71-2.79
Er 0.3217 0.9138 0.0000  14 B 2.71-2.79
Er 0.4437 0.6273 0.0000  12 B 2.58-2.61, 2 Ru 2.84-2.85
Er 0.5563 0.3727 0.0000  12 B 2.58-2.61, 2 Ru 2.84-2.85
Er 0.6783 0.0862 0.0000  14 B 2.71-2.79
Er 0.8217 0.5862 0.0000  14 B 2.71-2.79
Er 0.9437 0.8727 0.0000  12 B 2.58-2.61, 2 Ru 2.84-2.85
B 0.0175 0.2872 0.5000  3 B 1.79-1.85
B 0.0534 0.5668 0.5000  3 B 1.78-1.81
B 0.1089 0.9699 0.5000  2 B 1.79-1.81
B 0.1313 0.8150 0.5000  3 B 1.73-1.79
B 0.2092 0.2337 0.5000  3 B 1.73-1.85
B 0.2482 0.5798 0.5000  3 B 1.78-1.81
B 0.2518 0.0798 0.5000  3 B 1.78-1.81
B 0.2908 0.7337 0.5000  3 B 1.73-1.85
B 0.3687 0.3150 0.5000  3 B 1.73-1.79
B 0.3911 0.4699 0.5000  2 B 1.79-1.81
B 0.4466 0.0668 0.5000  3 B 1.78-1.81
B 0.4825 0.7872 0.5000  3 B 1.79-1.85
B 0.5175 0.2128 0.5000  3 B 1.79-1.85
B 0.5534 0.9332 0.5000  3 B 1.78-1.81
B 0.6089 0.5301 0.5000  2 B 1.79-1.81
B 0.6313 0.6850 0.5000  3 B 1.73-1.79
B 0.7092 0.2663 0.5000  3 B 1.73-1.85
B 0.7482 0.9202 0.5000  3 B 1.78-1.81
B 0.7518 0.4202 0.5000  3 B 1.78-1.81
B 0.7908 0.7663 0.5000  3 B 1.73-1.85
B 0.8687 0.1850 0.5000  3 B 1.73-1.79
B 0.8911 0.0301 0.5000  2 B 1.79-1.81
B 0.9466 0.4332 0.5000  3 B 1.78-1.81
B 0.9825 0.7128 0.5000  3 B 1.79-1.85
Ru 0.1377 0.6789 0.0000  10 B 2.33-2.40
Ru 0.3623 0.1789 0.0000  10 B 2.33-2.40
Ru 0.6377 0.8211 0.0000  10 B 2.33-2.40
Ru 0.8623 0.3211 0.0000  10 B 2.33-2.40


No. 3
The following is a DFT calculation (PBE-GGA) of ErB3Ru3 after structural relaxation.

Energy above the lowest structure with this stoichiometry, meV per atom: 60

a = 5.7984 Å, b = 5.7984 Å, c = 5.7984 Å
α = 90.00°, β = 90.00°, γ = 90.00°
Last column: nearest neighbours and their distance in Å.
Fractional positions:
Er 0.0000 0.0000 0.0000  12 Ru 3.24, 12 B 3.24
Er 0.5000 0.5000 0.5000  12 Ru 3.24, 12 B 3.24
B 0.0000 0.2500 0.5000  4 Ru 2.05
B 0.0000 0.7500 0.5000  4 Ru 2.05
B 0.2500 0.5000 0.0000  4 Ru 2.05
B 0.5000 0.0000 0.2500  4 Ru 2.05
B 0.5000 0.0000 0.7500  4 Ru 2.05
B 0.7500 0.5000 0.0000  4 Ru 2.05
Ru 0.0000 0.5000 0.2500  4 B 2.05
Ru 0.0000 0.5000 0.7500  4 B 2.05
Ru 0.2500 0.0000 0.5000  4 B 2.05
Ru 0.5000 0.2500 0.0000  4 B 2.05
Ru 0.5000 0.7500 0.0000  4 B 2.05
Ru 0.7500 0.0000 0.5000  4 B 2.05


No. 4
The following is a DFT calculation (PBE-GGA) of ErBRu2 after structural relaxation.

a = 5.9035 Å, b = 4.2286 Å, c = 9.6037 Å
α = 90.00°, β = 90.00°, γ = 90.00°
Last column: nearest neighbours and their distance in Å.
Fractional positions:
Er 0.0948 0.2500 0.1196  1 B 2.60, 5 Ru 2.84-2.90
Er 0.4052 0.7500 0.6196  1 B 2.60, 5 Ru 2.84-2.90
Er 0.5948 0.2500 0.3804  1 B 2.60, 5 Ru 2.84-2.90
Er 0.9052 0.7500 0.8804  1 B 2.60, 5 Ru 2.84-2.90
B 0.1339 0.7500 0.4064  5 Ru 2.07-2.17
B 0.3661 0.2500 0.9064  5 Ru 2.07-2.17
B 0.6339 0.7500 0.0936  5 Ru 2.07-2.17
B 0.8661 0.2500 0.5936  5 Ru 2.07-2.17
Ru 0.0911 0.2500 0.4210  3 B 2.12-2.13
Ru 0.1486 0.2500 0.7376  2 B 2.07-2.17
Ru 0.3514 0.7500 0.2376  2 B 2.07-2.17
Ru 0.4089 0.7500 0.9210  3 B 2.12-2.13
Ru 0.5911 0.2500 0.0790  3 B 2.12-2.13
Ru 0.6486 0.2500 0.7624  2 B 2.07-2.17
Ru 0.8514 0.7500 0.2624  2 B 2.07-2.17
Ru 0.9089 0.7500 0.5790  3 B 2.12-2.13


No. 5
The following is a DFT calculation (PBE-GGA) of Er2BRu3 after structural relaxation.

a = 3.1692 Å, b = 4.9370 Å, c = 12.9909 Å
α = 90.00°, β = 90.00°, γ = 90.00°
Last column: nearest neighbours and their distance in Å.
Fractional positions:
Er 0.0000 0.0000 0.1876  4 Ru 2.68-2.91
Er 0.0000 0.0000 0.8124  4 Ru 2.68-2.91
Er 0.5000 0.5000 0.3124  4 Ru 2.68-2.91
Er 0.5000 0.5000 0.6876  4 Ru 2.68-2.91
B 0.0000 0.0000 0.5000  4 Ru 2.11
B 0.5000 0.5000 0.0000  4 Ru 2.11
Ru 0.0000 0.5000 0.1076  2 B 2.11
Ru 0.0000 0.5000 0.5000  2 B 2.47
Ru 0.0000 0.5000 0.8924  2 B 2.11
Ru 0.5000 0.0000 0.0000  2 B 2.47
Ru 0.5000 0.0000 0.3924  2 B 2.11
Ru 0.5000 0.0000 0.6076  2 B 2.11


No. 6
The following is a DFT calculation (PBE-GGA) of ErB2Ru after structural relaxation.

Energy above the lowest structure with this stoichiometry, meV per atom: 317

a = 6.0530 Å, b = 3.8349 Å, c = 5.1166 Å
α = 90.00°, β = 116.24°, γ = 90.00°
Last column: nearest neighbours and their distance in Å.
Fractional positions:
Er 0.0000 0.0000 0.0000  8 B 2.68-2.83, 2 Ru 2.98
Er 0.5000 0.5000 0.0000  8 B 2.68-2.83, 2 Ru 2.98
B 0.1803 0.0000 0.6064  1 B 1.96, 2 Ru 2.15
B 0.3197 0.5000 0.3936  1 B 1.96, 2 Ru 2.15
B 0.6803 0.5000 0.6064  1 B 1.96, 2 Ru 2.15
B 0.8197 0.0000 0.3936  1 B 1.96, 2 Ru 2.15
Ru 0.0000 0.5000 0.5000  6 B 2.15-2.23
Ru 0.5000 0.0000 0.5000  6 B 2.15-2.23


E_form values, unit meV/atom, following the record order: -310; -709; -193; -483; 15; -322.
D(E_F) values, unit states/eV per atom, following the record order: 0.584; 0.085; 0.583; 0.239; 1.012; 0.510.